First-principles (GGA-PBE) data for Ba2ZnCdPd after structural relaxation, as listed in Alexandria.

The space group is P4/mmm (No. 123) and the conventional cell measures 6.1370, 6.1370 and 4.9288 Å, with angles of 90.00, 90.00 and 90.00 degrees. The distinct sites, in fractional coordinates, are Ba at (0.0000, 0.5000, 0.0000), Zn at (0.0000, 0.0000, 0.5000), Cd at (0.5000, 0.5000, 0.5000) and Pd at (0.0000, 0.0000, 0.0000).

Its formation energy is -294 meV/atom. For the magnetic moment, the calculation gives 0.000 μB/cell. Its polymorph energy (0 for the lowest one) is 0.000 eV per atom. For the raw total energy, the calculation gives -2.539 eV/atom. Its density is 5.00 Mg/m³.